1.
Here is a geometry-optimized Ac2DyGa structure from the Alexandria database. Energies are from PBE-GGA.

ΔE_f   5.42 kcal/mol of atoms
M_tot   0.00 μB/cell
V   38.54 Å³/atom
Symmetry   R-3m, No. 166
Uncorrected energy   -0.1369 hartree per atom

Unit cell a=3.778 b=3.778 c=37.426 alpha=90.00 beta=90.00 gamma=120.00
Fractional positions:
Ac1 0.000 0.000 0.087
Ac2 0.000 0.000 0.913
Ac3 0.333 0.667 0.580
Ac4 0.333 0.667 0.754
Ac5 0.667 0.333 0.246
Ac6 0.667 0.333 0.420
Dy1 0.000 0.000 0.500
Dy2 0.333 0.667 0.167
Dy3 0.667 0.333 0.833
Ga1 0.000 0.000 0.000
Ga2 0.333 0.667 0.667
Ga3 0.667 0.333 0.333



2.
Here is a geometry-optimized AcDyGa4 structure from the Alexandria database. Energies are from PBE-GGA.

ΔE_f   -10.51 kcal/mol of atoms
M_tot   0.00 μB/cell
V   22.01 Å³/atom
Symmetry   F-43m, No. 216
Uncorrected energy   -0.1443 hartree per atom

Unit cell a=5.716 b=5.716 c=5.716 alpha=60.00 beta=60.00 gamma=60.00
Fractional positions:
Ac1 0.000 0.000 0.000
Dy1 0.750 0.750 0.750
Ga1 0.375 0.375 0.375
Ga2 0.375 0.375 0.874
Ga3 0.375 0.874 0.375
Ga4 0.874 0.375 0.375



3.
Here is a geometry-optimized AcDyGa structure from the Alexandria database. Energies are from PBE-GGA.

ΔE_f   -5.55 kcal/mol of atoms
M_tot   0.00 μB/cell
V   31.91 Å³/atom
Symmetry   P-6m2, No. 187
Uncorrected energy   -0.1526 hartree per atom

Unit cell a=4.972 b=4.972 c=4.471 alpha=90.00 beta=90.00 gamma=120.00
Fractional positions:
Ac1 0.000 0.000 0.000
Dy1 0.667 0.333 0.500
Ga1 0.333 0.667 0.500



Number 1: E above lowest polymorph 0.395 eV per atom. Number 2: E above lowest polymorph 0.141 eV per atom. Number 3: E above lowest polymorph 0.126 eV per atom.